1.
VASP calculation (PBE) on crystalline TlAgGeTe3 at its relaxed geometry.

Its energy above the most stable polymorph in this dataset is 16.0 meV/atom.

Cell: 16.2829 3.7649 11.9180 Å, 90.00 90.00 90.00°
With the nearest neighbours (Å) after each atom.
Space group Pnma (No. 62)
Inequivalent atoms, fractional coordinates:
Tl: 0.2232 0.2500 0.0369  6 Te 3.36-3.60
Ag: 0.0266 0.7500 0.0899  4 Te 2.86-2.92, 2 Ag 2.98
Ge: 0.0412 0.2500 0.3736  5 Te 2.73-2.91
Te: 0.0927 0.2500 0.5917  3 Ge 2.73-2.91
Te: 0.1047 0.7500 0.8690  3 Ag 2.89-2.92
Te: 0.1424 0.7500 0.2699  2 Ge 2.79, 1 Ag 2.86



2.
VASP calculation (PBE) on crystalline TlAgGeTe3 at its relaxed geometry.

Its energy above the most stable polymorph in this dataset is 0.0 meV/atom.

Cell: 12.2726 4.4314 13.0519 Å, 90.00 90.00 90.00°
With the nearest neighbours (Å) after each atom.
Space group Pnma (No. 62)
Inequivalent atoms, fractional coordinates:
Tl: 0.2418 0.2500 0.0234  2 Ag 3.20, 4 Te 3.31-3.55
Ag: 0.2398 0.2500 0.3478  4 Te 2.84-2.92
Ge: 0.0122 0.7500 0.2388  3 Te 2.71-2.84
Te: 0.0152 0.2500 0.4208  1 Ag 2.92, 2 Te 3.05, 2 Ge 3.25
Te: 0.0322 0.7500 0.8903  2 Ge 2.84, 1 Ag 2.85
Te: 0.2310 0.7500 0.2115  1 Ge 2.71, 2 Ag 2.84



3.
VASP calculation (PBE) on crystalline TlAgGeTe3 at its relaxed geometry.

Its energy above the most stable polymorph in this dataset is 32.8 meV/atom.

Cell: 3.8081 15.2866 11.8758 Å, 90.00 90.00 90.00°
With the nearest neighbours (Å) after each atom.
Space group Cmcm (No. 63)
Inequivalent atoms, fractional coordinates:
Tl: 0.0000 0.2219 0.2500  2 Ag 3.16, 4 Te 3.44-3.46
Ag: 0.0000 0.1131 0.7500  4 Te 2.76-2.93
Ge: 0.0000 0.5000 0.0000  6 Te 2.88-3.01
Te: 0.0000 0.1405 0.5202  1 Ag 2.76, 2 Ge 2.88
Te: 0.0000 0.4670 0.7500  2 Ag 2.93, 2 Ge 3.01



4.
VASP calculation (PBE) on crystalline TlAgGeTe3 at its relaxed geometry.

Its energy above the most stable polymorph in this dataset is 18.8 meV/atom.

Cell: 17.9045 4.1324 9.7664 Å, 90.00 103.31 90.00°
With the nearest neighbours (Å) after each atom.
Space group C2/m (No. 12)
Inequivalent atoms, fractional coordinates:
Tl: 0.1472 0.0000 0.0656  7 Te 3.29-3.50
Ag: 0.0023 0.5000 0.7106  5 Te 2.81-2.91
Ge: 0.1712 0.0000 0.5775  6 Te 2.86-2.98
Te: 0.0000 0.0000 0.5000  4 Ag 2.91, 2 Ge 2.98
Te: 0.0000 0.5000 0.0000  2 Ag 2.84
Te: 0.1634 0.5000 0.7860  1 Ag 2.81, 2 Ge 2.93
Te: 0.1645 0.5000 0.3601  3 Ge 2.86-2.94, 1 Ag 2.91



5.
VASP calculation (PBE) on crystalline TlAgGeTe3 at its relaxed geometry.

Its energy above the most stable polymorph in this dataset is 1.3 meV/atom.

Cell: 12.3456 4.3774 13.1580 Å, 90.00 90.00 90.00°
With the nearest neighbours (Å) after each atom.
Space group Pnma (No. 62)
Inequivalent atoms, fractional coordinates:
Tl: 0.2243 0.2500 0.0166  2 Ag 3.22, 3 Te 3.28-3.54
Ag: 0.2293 0.2500 0.3420  4 Te 2.80-2.91
Ge: 0.0412 0.2500 0.7324  5 Te 2.71-3.04
Te: 0.0173 0.2500 0.4180  1 Ag 2.80, 2 Ge 3.04, 2 Te 3.10
Te: 0.0375 0.7500 0.8740  2 Ge 2.87, 1 Ag 2.91
Te: 0.2416 0.7500 0.2013  1 Ge 2.71, 2 Ag 2.87



6.
VASP calculation (PBE) on crystalline TlAgGeTe3 at its relaxed geometry.

Its energy above the most stable polymorph in this dataset is 33.2 meV/atom.

Cell: 9.3394 4.3315 17.1560 Å, 90.00 90.00 90.00°
With the nearest neighbours (Å) after each atom.
Space group Pnma (No. 62)
Inequivalent atoms, fractional coordinates:
Tl: 0.0647 0.2500 0.2072  2 Ag 3.13, 3 Te 3.19-3.38
Ag: 0.2273 0.2500 0.6398  4 Te 2.74-2.95
Ge: 0.1686 0.7500 0.4486  6 Te 2.90-2.98
Te: 0.0237 0.7500 0.6019  3 Ge 2.94-2.96, 2 Ag 2.95
Te: 0.1324 0.7500 0.9992  1 Ag 2.74, 2 Ge 2.98
Te: 0.1855 0.2500 0.7996  1 Ag 2.77, 1 Ge 2.90